No. 1
# HoGaSb

HoGaSb after structural relaxation (PBE, OQMD).

Geometry as POSCAR:
```
HoGaSb
1.0
0.0000 3.4471 3.4471
3.4471 0.0000 3.4471
3.4471 3.4471 0.0000
Ho Ga Sb
1 1 1
direct
0.0000 0.0000 0.0000
0.2500 0.2500 0.2500
0.5000 0.5000 0.5000
```

Density in g/cm3: 7.22
Raw total energy in hartree per atom: -0.1529

No. 2
# HoGaSb

HoGaSb after structural relaxation (PBE, OQMD).

Geometry as POSCAR:
```
HoGaSb
1.0
5.4376 0.0000 0.0000
-2.7188 4.7091 0.0000
0.0000 0.0000 3.3068
Ho Ga Sb
1 1 1
direct
0.0000 0.0000 0.0000
0.3333 0.6667 0.0000
0.6667 0.3333 0.0000
```

Density in g/cm3: 6.99
Raw total energy in hartree per atom: -0.1428

No. 3
# Ho5Ga2Sb

Ho5Ga2Sb after structural relaxation (PBE, OQMD).

Geometry as POSCAR:
```
Ho5Ga2Sb
1.0
-4.0428 4.0428 6.3444
4.0428 -4.0428 6.3444
4.0428 4.0428 -6.3444
Ho Ga Sb
10 4 2
direct
0.0000 0.0000 0.0000
0.0109 0.5109 0.8083
0.2026 0.0109 0.5000
0.2974 0.7974 0.8083
0.4891 0.2974 0.5000
0.5000 0.5000 0.0000
0.5109 0.7026 0.5000
0.7026 0.2026 0.1917
0.7974 0.9891 0.5000
0.9891 0.4891 0.1917
0.1467 0.3533 0.5000
0.3533 0.8533 0.2065
0.6467 0.1467 0.7935
0.8533 0.6467 0.5000
0.2500 0.2500 0.0000
0.7500 0.7500 0.0000
```

Density in g/cm3: 8.69
Raw total energy in hartree per atom: -0.1755

No. 4
# HoGaSb

HoGaSb after structural relaxation (PBE, OQMD).

Geometry as POSCAR:
```
HoGaSb
1.0
0.0000 3.5074 3.5074
3.5074 0.0000 3.5074
3.5074 3.5074 0.0000
Ho Ga Sb
1 1 1
direct
0.0000 0.0000 0.0000
0.7500 0.7500 0.7500
0.2500 0.2500 0.2500
```

Density in g/cm3: 6.86
Raw total energy in hartree per atom: -0.1540

No. 5
# Ho2GaSe

Ho2GaSe after structural relaxation (PBE, OQMD).

Geometry as POSCAR:
```
Ho2GaSe
1.0
2.1119 -11.1074 0.0000
2.1119 11.1074 0.0000
0.0000 0.0000 4.0143
Ho Ga Se
4 2 2
direct
0.0657 0.9343 0.7500
0.3224 0.6776 0.7500
0.6776 0.3224 0.2500
0.9343 0.0657 0.2500
0.4600 0.5400 0.7500
0.5400 0.4600 0.2500
0.1930 0.8070 0.7500
0.8070 0.1930 0.2500
```

Density in g/cm3: 8.44
Raw total energy in hartree per atom: -0.1892

No. 6
# HoTlGaSe3

HoTlGaSe3 after structural relaxation (PBE, OQMD).

Geometry as POSCAR:
```
HoTlGaSe3
1.0
2.2678 -7.0142 0.0000
2.2678 7.0142 0.0000
0.0000 0.0000 10.8512
Ho Tl Ga Se
2 2 2 6
direct
0.0000 0.0000 0.0000
0.0000 0.0000 0.5000
0.2545 0.7455 0.7500
0.7455 0.2545 0.2500
0.4826 0.5174 0.2500
0.5174 0.4826 0.7500
0.0677 0.9323 0.2500
0.3743 0.6257 0.0631
0.3743 0.6257 0.4369
0.6257 0.3743 0.5631
0.6257 0.3743 0.9369
0.9323 0.0677 0.7500
```

Density in g/cm3: 6.50
Raw total energy in hartree per atom: -0.1605

No. 7
# Ho2GaSi

Ho2GaSi after structural relaxation (PBE, OQMD).

Geometry as POSCAR:
```
Ho2GaSi
1.0
3.9594 0.0000 0.0000
0.0000 2.1044 5.3406
0.0000 -2.1044 5.3406
Ho Ga Si
2 1 1
direct
0.0000 0.0000 0.0000
0.5000 0.2817 0.2817
0.5000 0.5652 0.5652
0.0000 0.7172 0.7172
```

Density in g/cm3: 7.98
Raw total energy in hartree per atom: -0.1892

No. 8
# Ho2GaSi

Ho2GaSi after structural relaxation (PBE, OQMD).

Geometry as POSCAR:
```
Ho2GaSi
1.0
5.7436 0.0000 0.0000
0.0000 3.9330 0.0000
-2.5373 0.0000 7.9507
Ho Ga Si
4 2 2
direct
0.2048 0.2500 0.4267
0.2846 0.7500 0.0679
0.7154 0.2500 0.9321
0.7952 0.7500 0.5733
0.3664 0.7500 0.7112
0.6336 0.2500 0.2888
0.1383 0.2500 0.7893
0.8617 0.7500 0.2107
```

Density in g/cm3: 7.91
Raw total energy in hartree per atom: -0.1893

No. 9
# HoTmGa3Si2

HoTmGa3Si2 after structural relaxation (PBE, OQMD).

Geometry as POSCAR:
```
HoTmGa3Si2
1.0
5.0950 -2.0163 0.0000
5.0950 2.0163 0.0000
-1.2525 0.0000 6.4540
Ho Tm Ga Si
1 1 3 2
direct
0.0000 0.0000 0.0000
0.2372 0.2372 0.6317
0.3153 0.3153 0.1765
0.6194 0.6194 0.3168
0.9218 0.9218 0.4565
0.5242 0.5242 0.6825
0.7129 0.7129 0.9471
```

Density in g/cm3: 7.50
Raw total energy in hartree per atom: -0.1717

No. 10
# YHoGa3Si2

YHoGa3Si2 after structural relaxation (PBE, OQMD).

Geometry as POSCAR:
```
YHoGa3Si2
1.0
5.1268 -2.0267 0.0000
5.1268 2.0267 0.0000
-1.2773 0.0000 6.4816
Y Ho Ga Si
1 1 3 2
direct
0.0000 0.0000 0.0000
0.7623 0.7623 0.3687
0.0776 0.0776 0.5434
0.3800 0.3800 0.6834
0.6849 0.6849 0.8239
0.2874 0.2874 0.0525
0.4749 0.4749 0.3183
```

Density in g/cm3: 6.40
Raw total energy in hartree per atom: -0.1828

No. 11
# SmHoGa5

SmHoGa5 after structural relaxation (PBE, OQMD).

Geometry as POSCAR:
```
SmHoGa5
1.0
4.2896 0.0000 0.0000
0.0000 4.2896 0.0000
0.0000 0.0000 8.2569
Sm Ho Ga
1 1 5
direct
0.0000 0.0000 0.0000
0.0000 0.0000 0.5000
0.0000 0.5000 0.2586
0.0000 0.5000 0.7414
0.5000 0.0000 0.2586
0.5000 0.0000 0.7414
0.5000 0.5000 0.0000
```

Density in g/cm3: 7.26
Raw total energy in hartree per atom: -0.1433

No. 12
# Ho2GaSn

Ho2GaSn after structural relaxation (PBE, OQMD).

Geometry as POSCAR:
```
Ho2GaSn
1.0
4.1320 0.0000 0.0000
0.0000 2.2146 5.5457
0.0000 -2.2146 5.5457
Ho Ga Sn
2 1 1
direct
0.0000 0.0000 0.0000
0.5000 0.2793 0.2793
0.0000 0.7317 0.7317
0.5000 0.5627 0.5627
```

Density in g/cm3: 8.48
Raw total energy in hartree per atom: -0.1740